[1]
MgMnPt6 after structural relaxation, computed with GGA-PBE.

Symmetry = P4/mmm
E = -50.846 eV per cell
DOS at the Fermi energy = 8.76 states/eV per cell
ΔE_f = -480 meV/atom

Cell lengths 3.9390, 3.9390, 7.9035 Å; angles 90.00, 90.00, 90.00 degrees
Closest atoms and distances in Å follow each position.
Atoms (fractional coordinates):
1 Mn 0.0000 0.0000 0.5000  12 Pt 2.77-2.79
2 Pt 0.5000 0.0000 0.7467  2 Mn 2.77, 8 Pt 2.77-2.81, 2 Mg 2.81
3 Pt 0.0000 0.5000 0.7467  2 Mn 2.77, 8 Pt 2.77-2.81, 2 Mg 2.81
4 Pt 0.5000 0.5000 0.5000  8 Pt 2.77, 4 Mn 2.79
5 Pt 0.5000 0.0000 0.2533  8 Pt 2.77-2.81, 2 Mn 2.77, 2 Mg 2.81
6 Pt 0.0000 0.5000 0.2533  2 Mn 2.77, 8 Pt 2.77-2.81, 2 Mg 2.81
7 Pt 0.5000 0.5000 0.0000  4 Mg 2.79, 8 Pt 2.81
8 Mg 0.0000 0.0000 0.0000  12 Pt 2.79-2.81

***

[2]
Hf2SbRuPt after structural relaxation, computed with GGA-PBE.

Symmetry = P4/mmm
E = -35.387 eV per cell
DOS at the Fermi energy = 4.97 states/eV per cell

Cell lengths 5.0147, 4.8821, 5.0147 Å; angles 90.00, 90.00, 90.00 degrees
Closest atoms and distances in Å follow each position.
Atoms (fractional coordinates):
1 Hf 0.5000 0.0000 0.0000  2 Pt 2.51
2 Hf 0.0000 0.0000 0.5000  2 Pt 2.51
3 Sb 0.0000 0.5000 0.0000  2 Pt 2.44
4 Ru 0.5000 0.5000 0.5000  8 Hf 3.50, 4 Sb 3.55
5 Pt 0.0000 0.0000 0.0000  2 Sb 2.44, 4 Hf 2.51

***

[3]
CrIn after structural relaxation, computed with GGA-PBE.

Symmetry = I-43m
E = -82.056 eV per cell
DOS at the Fermi energy = 16.46 states/eV per cell
ΔE_f = 1052 meV/atom

Cell lengths 8.0439, 8.0439, 8.0439 Å; angles 90.00, 90.00, 90.00 degrees
Closest atoms and distances in Å follow each position.
Atoms (fractional coordinates):
1 In 0.2131 0.2131 0.7869  4 Cr 2.65-2.82
2 In 0.2131 0.7869 0.2131  4 Cr 2.65-2.82
3 In 0.7869 0.7869 0.7869  4 Cr 2.65-2.82
4 In 0.2869 0.7131 0.7131  4 Cr 2.65-2.82
5 In 0.7131 0.7131 0.2869  4 Cr 2.65-2.82
6 In 0.7869 0.2131 0.2131  4 Cr 2.65-2.82
7 In 0.2869 0.2869 0.2869  4 Cr 2.65-2.82
8 In 0.7131 0.2869 0.7131  4 Cr 2.65-2.82
9 Cr 0.4035 0.5965 0.4035  3 Cr 2.20
10 Cr 0.0965 0.9035 0.9035  3 Cr 2.20
11 Cr 0.4035 0.4035 0.5965  3 Cr 2.20
12 Cr 0.0965 0.0965 0.0965  3 Cr 2.20
13 Cr 0.9035 0.9035 0.0965  3 Cr 2.20
14 Cr 0.5965 0.5965 0.5965  3 Cr 2.20
15 Cr 0.9035 0.0965 0.9035  3 Cr 2.20
16 Cr 0.5965 0.4035 0.4035  3 Cr 2.20

***

[4]
Sr4YSe after structural relaxation, computed with GGA-PBE.

Symmetry = F-43m
E = -14.851 eV per cell
DOS at the Fermi energy = 6.83 states/eV per cell

Cell lengths 7.2239, 7.2239, 7.2239 Å; angles 60.00, 60.00, 60.00 degrees
Closest atoms and distances in Å follow each position.
Atoms (fractional coordinates):
1 Sr 0.3757 0.8728 0.3757  6 Sr 3.59-3.63
2 Sr 0.3757 0.3757 0.3757  6 Sr 3.59-3.63
3 Sr 0.8728 0.3757 0.3757  6 Sr 3.59-3.63
4 Sr 0.3757 0.3757 0.8728  6 Sr 3.59-3.63
5 Y 0.7500 0.7500 0.7500  12 Sr 4.23, 4 Se 4.42
6 Se 0.0000 0.0000 0.0000  12 Sr 4.24, 4 Y 4.42

***

[5]
MgMnAs after structural relaxation, computed with GGA-PBE.

Symmetry = F-43m
E = -15.656 eV per cell
DOS at the Fermi energy = 1.75 states/eV per cell
ΔE_f = -81 meV/atom

Cell lengths 4.3376, 4.3376, 4.3376 Å; angles 60.00, 60.00, 60.00 degrees
Closest atoms and distances in Å follow each position.
Atoms (fractional coordinates):
1 As 0.7500 0.7500 0.7500  4 Mn 2.66, 4 Mg 2.66
2 Mn 0.5000 0.5000 0.5000  4 As 2.66
3 Mg 0.0000 0.0000 0.0000  4 As 2.66

***

[6]
Mg14CdB after structural relaxation, computed with GGA-PBE.

Symmetry = Amm2
E = -28.230 eV per cell
Polymorph energy (0 for the lowest one) = 0.0 meV/atom
DOS at the Fermi energy = 7.02 states/eV per cell
ΔE_f = 105 meV/atom

Cell lengths 6.3447, 6.3447, 8.9888 Å; angles 90.00, 90.00, 106.20 degrees
Closest atoms and distances in Å follow each position.
Atoms (fractional coordinates):
1 Mg 0.5567 0.8256 0.3074  1 B 2.57
2 Mg 0.8411 0.5960 0.5000  1 B 2.49
3 Mg 0.0956 0.9044 0.2799  1 B 2.50
4 Mg 0.6566 0.3434 0.2239  8 Mg 3.01-3.26, 1 Cd 3.33
5 Mg 0.5567 0.8256 0.6926  1 B 2.57
6 Mg 0.3767 0.0375 0.0000  9 Mg 3.01-3.30
7 Mg 0.8970 0.1030 0.0000  8 Mg 3.16-3.22
8 Mg 0.4299 0.5701 0.0000  10 Mg 3.06-3.30
9 Mg 0.9625 0.6233 0.0000  9 Mg 3.01-3.30
10 Mg 0.1744 0.4433 0.6926  1 B 2.57
11 Mg 0.4040 0.1589 0.5000  1 B 2.49
12 Mg 0.0956 0.9044 0.7201  1 B 2.50
13 Mg 0.6566 0.3434 0.7761  8 Mg 3.01-3.26, 1 Cd 3.33
14 Mg 0.1744 0.4433 0.3074  1 B 2.57
15 B 0.2464 0.7536 0.5000  8 Mg 2.49-2.57
16 Cd 0.8758 0.1242 0.5000  8 Mg 2.92-3.06

***

[7]
K2ZrAl after structural relaxation, computed with GGA-PBE.

Symmetry = Pm
E = -13.141 eV per cell
DOS at the Fermi energy = 3.90 states/eV per cell
ΔE_f = 336 meV/atom

Cell lengths 4.2724, 3.3688, 11.1844 Å; angles 72.47, 90.00, 90.00 degrees
Closest atoms and distances in Å follow each position.
Atoms (fractional coordinates):
1 Al 0.5000 0.8301 0.6708  4 Zr 2.85
2 Zr 0.0000 0.4094 0.5914  4 Al 2.85
3 K 0.5000 0.1884 0.3119  2 K 3.37
4 K 0.0000 0.0721 0.9259  2 K 3.37, 1 Zr 3.57

***

[8]
IrWIN2 after structural relaxation, computed with GGA-PBE.

Symmetry = P4/mmm
E = -34.513 eV per cell
Polymorph energy (0 for the lowest one) = 0.0 meV/atom
DOS at the Fermi energy = 3.93 states/eV per cell

Cell lengths 3.8906, 3.8906, 5.9315 Å; angles 90.00, 90.00, 90.00 degrees
Closest atoms and distances in Å follow each position.
Atoms (fractional coordinates):
1 I 0.0000 0.0000 0.5000  4 Ir 2.75, 2 W 2.97
2 Ir 0.5000 0.5000 0.5000  4 I 2.75
3 N 0.0000 0.5000 0.0000  2 W 1.95
4 N 0.5000 0.0000 0.0000  2 W 1.95
5 W 0.0000 0.0000 0.0000  4 N 1.95

***

[9]
NdDy4Co after structural relaxation, computed with GGA-PBE.

Symmetry = P-1
E = -30.468 eV per cell
DOS at the Fermi energy = 7.68 states/eV per cell
ΔE_f = -31 meV/atom

Cell lengths 6.2306, 3.5665, 8.5992 Å; angles 78.08, 105.93, 73.35 degrees
Closest atoms and distances in Å follow each position.
Atoms (fractional coordinates):
1 Dy 0.1319 0.2437 0.3816  2 Co 2.73
2 Dy 0.5503 0.1231 0.2069  2 Co 3.14-3.15, 2 Dy 3.30-3.32
3 Dy 0.8681 0.7563 0.6184  2 Co 2.73
4 Dy 0.4497 0.8769 0.7931  2 Co 3.14-3.15, 2 Dy 3.30-3.32
5 Nd 0.0000 0.0000 0.0000  10 Dy 3.51-3.68, 2 Nd 3.57
6 Co 0.5000 0.5000 0.5000  4 Dy 2.73

***

[10]
ScSbIr2 after structural relaxation, computed with GGA-PBE.

Symmetry = I-42d
E = -57.032 eV per cell
DOS at the Fermi energy = 5.13 states/eV per cell

Cell lengths 4.1790, 4.1790, 9.4062 Å; angles 77.17, 77.17, 90.00 degrees
Closest atoms and distances in Å follow each position.
Atoms (fractional coordinates):
1 Sb 0.7500 0.2500 0.5000  4 Ir 2.64, 4 Sc 2.95
2 Sb 0.0000 0.0000 0.0000  4 Ir 2.64, 4 Sc 2.95
3 Ir 0.1013 0.6250 0.2500  2 Sb 2.64, 2 Sc 2.72, 2 Ir 2.82
4 Ir 0.8750 0.8987 0.7500  2 Sb 2.64, 2 Sc 2.72, 2 Ir 2.82
5 Ir 0.6487 0.1250 0.2500  2 Sb 2.64, 2 Sc 2.72, 2 Ir 2.82
6 Ir 0.3750 0.3513 0.7500  2 Sb 2.64, 2 Sc 2.72, 2 Ir 2.82
7 Sc 0.2500 0.7500 0.5000  4 Ir 2.72, 4 Sb 2.95
8 Sc 0.5000 0.5000 0.0000  4 Ir 2.72, 4 Sb 2.95

***

[11]
Ba2Te2O7 after structural relaxation, computed with GGA-PBE.

Symmetry = C2/m
E = -63.757 eV per cell

Cell lengths 5.4173, 6.6880, 6.6880 Å; angles 97.57, 97.33, 97.33 degrees
Closest atoms and distances in Å follow each position.
Atoms (fractional coordinates):
1 O 0.2040 0.3974 0.3974  1 Te 1.88
2 O 0.7960 0.6026 0.6026  1 Te 1.88
3 O 0.0000 0.0000 0.0000  2 Te 2.12
4 O 0.7299 0.1085 0.4042  1 Te 1.88
5 O 0.2701 0.8915 0.5958  1 Te 1.88
6 O 0.7299 0.4042 0.1085  1 Te 1.88
7 O 0.2701 0.5958 0.8915  1 Te 1.88
8 Te 0.9304 0.2290 0.2290  3 O 1.88
9 Te 0.0696 0.7710 0.7710  3 O 1.88
10 Ba 0.5000 0.7092 0.2908  6 O 2.69-2.76
11 Ba 0.5000 0.2908 0.7092  6 O 2.69-2.76

***

[12]
HfIrCl2 after structural relaxation, computed with GGA-PBE.

Symmetry = R-3m
E = -23.551 eV per cell
Polymorph energy (0 for the lowest one) = 0.0 meV/atom
DOS at the Fermi energy = 2.34 states/eV per cell

Cell lengths 8.5394, 8.5394, 8.5394 Å; angles 21.05, 21.05, 21.05 degrees
Closest atoms and distances in Å follow each position.
Atoms (fractional coordinates):
1 Cl 0.0923 0.0923 0.0923  1 Ir 2.31
2 Cl 0.9077 0.9077 0.9077  1 Ir 2.31
3 Ir 0.0000 0.0000 0.0000  2 Cl 2.31
4 Hf 0.5000 0.5000 0.5000  6 Cl 2.59

***

[13]
Hf3Zr after structural relaxation, computed with GGA-PBE.

Symmetry = Pmm2
E = -38.419 eV per cell
Polymorph energy (0 for the lowest one) = 0.0 meV/atom
DOS at the Fermi energy = 2.68 states/eV per cell
ΔE_f = -3 meV/atom

Cell lengths 3.2078, 5.0810, 5.5564 Å; angles 90.00, 90.00, 90.00 degrees
Closest atoms and distances in Å follow each position.
Atoms (fractional coordinates):
1 Hf 0.5000 0.0000 0.4995  8 Hf 3.14-3.21, 4 Zr 3.20-3.21
2 Hf 0.5000 0.5000 0.8321  8 Hf 3.14-3.22, 4 Zr 3.15
3 Hf 0.0000 0.5000 0.3347  10 Hf 3.14-3.22, 2 Zr 3.15
4 Zr 0.0000 0.0000 0.0003  10 Hf 3.15-3.21, 2 Zr 3.21

***

[14]
Pm5NdOs2 after structural relaxation, computed with GGA-PBE.

Symmetry = Immm
E = -50.069 eV per cell
DOS at the Fermi energy = 7.79 states/eV per cell
ΔE_f = 114 meV/atom

Cell lengths 4.8282, 7.4560, 7.4560 Å; angles 71.46, 71.11, 71.11 degrees
Closest atoms and distances in Å follow each position.
Atoms (fractional coordinates):
1 Os 0.7323 0.7677 0.7677  3 Pm 2.79-2.97
2 Os 0.2677 0.2323 0.2323  3 Pm 2.79-2.97
3 Pm 0.3369 0.4716 0.8545  1 Os 2.79
4 Pm 0.6631 0.5284 0.1455  1 Os 2.79
5 Pm 0.3369 0.8545 0.4716  1 Os 2.79
6 Pm 0.6631 0.1455 0.5284  1 Os 2.79
7 Pm 0.0000 0.5000 0.5000  2 Os 2.97
8 Nd 0.0000 0.0000 0.0000  4 Os 3.53

***

[15]
SrCu3Cl after structural relaxation, computed with GGA-PBE.

Symmetry = Pm-3m
E = -13.291 eV per cell
Polymorph energy (0 for the lowest one) = 0.0 meV/atom
DOS at the Fermi energy = 4.47 states/eV per cell

Cell lengths 4.8202, 4.8202, 4.8202 Å; angles 90.00, 90.00, 90.00 degrees
Closest atoms and distances in Å follow each position.
Atoms (fractional coordinates):
1 Cl 0.0000 0.0000 0.0000  6 Cu 2.41
2 Sr 0.5000 0.5000 0.5000  12 Cu 3.41
3 Cu 0.0000 0.0000 0.5000  2 Cl 2.41
4 Cu 0.5000 0.0000 0.0000  2 Cl 2.41
5 Cu 0.0000 0.5000 0.0000  2 Cl 2.41

***

[16]
Ce5ErBi3 after structural relaxation, computed with GGA-PBE.

Symmetry = P6_3/mcm
E = -99.688 eV per cell
DOS at the Fermi energy = 56.55 states/eV per cell
ΔE_f = -441 meV/atom

Cell lengths 6.6133, 9.6742, 9.6741 Å; angles 120.00, 90.00, 90.00 degrees
Closest atoms and distances in Å follow each position.
Atoms (fractional coordinates):
1 Bi 0.2500 0.3430 0.0000  9 Ce 3.23-3.58
2 Bi 0.7500 0.0000 0.6570  9 Ce 3.23-3.58
3 Bi 0.7500 0.3429 0.3430  9 Ce 3.23-3.58
4 Bi 0.7500 0.6570 0.0000  9 Ce 3.23-3.58
5 Bi 0.2500 0.6571 0.6570  9 Ce 3.23-3.58
6 Bi 0.2500 0.0000 0.3430  9 Ce 3.23-3.58
7 Ce 0.2500 0.0000 0.6771  5 Bi 3.23-3.31, 2 Er 3.53
8 Ce 0.2500 0.3229 0.3229  5 Bi 3.23-3.31, 2 Er 3.53
9 Ce 0.7500 0.3229 0.0000  5 Bi 3.23-3.31, 2 Er 3.53
10 Ce 0.5000 0.6667 0.3333  8 Ce 3.31-3.67, 6 Bi 3.58
11 Ce 0.7500 0.0000 0.3229  5 Bi 3.23-3.31, 2 Er 3.53
12 Ce 0.7500 0.6771 0.6771  5 Bi 3.23-3.31, 2 Er 3.53
13 Ce 0.5000 0.3333 0.6667  8 Ce 3.31-3.67, 6 Bi 3.58
14 Ce 0.0000 0.3333 0.6667  8 Ce 3.31-3.67, 6 Bi 3.58
15 Ce 0.0000 0.6667 0.3333  8 Ce 3.31-3.67, 6 Bi 3.58
16 Ce 0.2500 0.6771 0.0000  5 Bi 3.23-3.31, 2 Er 3.53
17 Er 0.0000 0.0000 0.0000  2 Er 3.31, 6 Ce 3.53
18 Er 0.5000 0.0000 0.0000  2 Er 3.31, 6 Ce 3.53